(1)
Below is a relaxed structure of SrPtPb2, with properties calculated at the GGA-PBEsol level.

As for the total energy: -4.483 eV/atom. For the density, the calculation gives 10993 kg/m³. As for the formation energy: -0.28 eV/atom.

The structure belongs to space group P4mm (No. 99); the cell edges are 3.644, 3.644 and 7.929 Å and the angles 90.00°, 90.00° and 90.00°. Symmetry generates all atoms from Sr at (0.000, 0.000, 0.000), Pt at (0.500, 0.500, 0.757), Pb at (0.000, 0.000, 0.587) and Pb at (0.500, 0.500, 0.315).


(2)
Below is a relaxed structure of TaPtPb2, with properties calculated at the GGA-PBEsol level.

As for the total energy: -6.389 eV/atom. For the density, the calculation gives 16001 kg/m³. Its energy relative to the lowest polymorph listed for this composition is 0.104 eV per atom. As for the formation energy: 0.49 eV/atom.

The structure belongs to space group P4/mmm (No. 123); the cell edges are 3.113, 3.113 and 8.467 Å and the angles 90.00°, 90.00° and 90.00°. Symmetry generates all atoms from Ta at (0.000, 0.000, 0.000), Pt at (0.000, 0.000, 0.500) and Pb at (0.500, 0.500, 0.264).


(3)
Below is a relaxed structure of TaPtPb2, with properties calculated at the GGA-PBEsol level.

As for the total energy: -6.462 eV/atom. For the density, the calculation gives 16033 kg/m³. Its energy relative to the lowest polymorph listed for this composition is 0.030 eV per atom. As for the formation energy: 0.42 eV/atom.

The structure belongs to space group R-3m (No. 166, hexagonal axes); the cell edges are 3.1827, 3.1827 and 27.9958 Å and the angles 90.00°, 90.00° and 120.00°. Symmetry generates all atoms from Ta at (0.0000, 0.0000, 0.0000), Pt at (0.0000, 0.0000, 0.5000) and Pb at (0.0000, 0.0000, 0.2460).